An optimized crystal structure of YCo2BiIr, computed with PBE.

As for the energy of formation: 1.86 eV per atom. For the electronic total energy, the calculation gives -4.82 eV/atom.

It has space group P4/mmm (No. 123), with a = 4.5381 Å, b = 4.5381 Å, c = 5.6482 Å, α = 90.00°, β = 90.00° and γ = 90.00°. The asymmetric unit holds Y at (0.0000, 0.0000, 0.0000), Co at (0.0000, 0.5000, 0.0000), Bi at (0.0000, 0.0000, 0.5000) and Ir at (0.5000, 0.5000, 0.5000).